Entry 1:
# ZrMoP (PBE-GGA, relaxed)
data_ZrMoP
_chemical_formula_sum 'Zr2 Mo2 P2'
_cell_length_a 4.6573
_cell_length_b 4.6573
_cell_length_c 5.2476
_cell_angle_alpha 90.00
_cell_angle_beta 90.00
_cell_angle_gamma 120.00
_symmetry_space_group_name_H-M 'P 63/m m c'
_symmetry_Int_Tables_number 194
_symmetry_space_group_name_Hall '-P 6c 2c'
loop_
_atom_site_label
_atom_site_fract_x
_atom_site_fract_y
_atom_site_fract_z
Zr1 0.3333 0.6667 0.2500
Mo1 0.0000 0.0000 0.0000
P1 0.3333 0.6667 0.7500
# - volume (Å³ per atom) = 16.43
# - DFT total energy (eV per formula unit) = -25.8

=====

Entry 2:
# NaTaBi (PBE-GGA, relaxed)
data_NaTaBi
_chemical_formula_sum 'Na4 Ta4 Bi4'
_cell_length_a 6.8970
_cell_length_b 6.8970
_cell_length_c 6.8970
_cell_angle_alpha 90.00
_cell_angle_beta 90.00
_cell_angle_gamma 90.00
_symmetry_space_group_name_H-M 'F -4 3 m'
_symmetry_Int_Tables_number 216
_symmetry_space_group_name_Hall 'F -4 2 3'
loop_
_atom_site_label
_atom_site_fract_x
_atom_site_fract_y
_atom_site_fract_z
Na1 0.0000 0.0000 0.0000
Ta1 0.0000 0.0000 0.5000
Bi1 0.2500 0.2500 0.2500
# - volume (Å³ per atom) = 27.34
# - DFT total energy (eV per formula unit) = -14.5

=====

Entry 3:
# MgNbGaCu (PBE-GGA, relaxed)
data_MgNbGaCu
_chemical_formula_sum 'Mg4 Nb4 Ga4 Cu4'
_cell_length_a 6.3697
_cell_length_b 6.3697
_cell_length_c 6.3697
_cell_angle_alpha 90.00
_cell_angle_beta 90.00
_cell_angle_gamma 90.00
_symmetry_space_group_name_H-M 'F -4 3 m'
_symmetry_Int_Tables_number 216
_symmetry_space_group_name_Hall 'F -4 2 3'
loop_
_atom_site_label
_atom_site_fract_x
_atom_site_fract_y
_atom_site_fract_z
Mg1 0.0000 0.0000 0.0000
Nb1 0.2500 0.2500 0.7500
Ga1 0.2500 0.2500 0.2500
Cu1 0.0000 0.0000 0.5000
# - volume (Å³ per atom) = 16.15
# - DFT total energy (eV per formula unit) = -17.2

=====

Entry 4:
# LuHgB (PBE-GGA, relaxed)
data_LuHgB
_chemical_formula_sum 'Lu4 Hg4 B4'
_cell_length_a 6.0076
_cell_length_b 6.0076
_cell_length_c 6.0076
_cell_angle_alpha 90.00
_cell_angle_beta 90.00
_cell_angle_gamma 90.00
_symmetry_space_group_name_H-M 'F -4 3 m'
_symmetry_Int_Tables_number 216
_symmetry_space_group_name_Hall 'F -4 2 3'
loop_
_atom_site_label
_atom_site_fract_x
_atom_site_fract_y
_atom_site_fract_z
Lu1 0.0000 0.0000 0.0000
Hg1 0.0000 0.0000 0.5000
B1 0.2500 0.2500 0.7500
# - volume (Å³ per atom) = 18.07
# - DFT total energy (eV per formula unit) = -11.6

=====

Entry 5:
# FeBiMo2 (PBE-GGA, relaxed)
data_FeBiMo2
_chemical_formula_sum 'Fe4 Bi4 Mo8'
_cell_length_a 6.4630
_cell_length_b 6.4630
_cell_length_c 6.4630
_cell_angle_alpha 90.00
_cell_angle_beta 90.00
_cell_angle_gamma 90.00
_symmetry_space_group_name_H-M 'F -4 3 m'
_symmetry_Int_Tables_number 216
_symmetry_space_group_name_Hall 'F -4 2 3'
loop_
_atom_site_label
_atom_site_fract_x
_atom_site_fract_y
_atom_site_fract_z
Fe1 0.0000 0.0000 0.0000
Bi1 0.2500 0.2500 0.7500
Mo1 0.0000 0.0000 0.5000
Mo2 0.2500 0.2500 0.2500
# - volume (Å³ per atom) = 16.87
# - DFT total energy (eV per formula unit) = -31.4

=====

Entry 6:
# TbDy2Mg3In3 (PBE-GGA, relaxed)
data_TbDy2Mg3In3
_chemical_formula_sum 'Tb2 Dy4 Mg6 In6'
_cell_length_a 4.6774
_cell_length_b 13.0280
_cell_length_c 7.5072
_cell_angle_alpha 90.00
_cell_angle_beta 90.00
_cell_angle_gamma 90.00
_symmetry_space_group_name_H-M 'A m m 2'
_symmetry_Int_Tables_number 38
loop_
_symmetry_equiv_pos_as_xyz
'x,y,z'
'-x,-y,z'
'-x,y,z'
'x,-y,z'
'x,y+1/2,z+1/2'
'-x,-y+1/2,z+1/2'
'-x,y+1/2,z+1/2'
'x,-y+1/2,z+1/2'
loop_
_atom_site_label
_atom_site_fract_x
_atom_site_fract_y
_atom_site_fract_z
Tb1 0.0000 0.0000 0.0000
Dy1 0.0000 0.2174 0.6524
Mg1 0.5000 0.0000 0.6767
Mg2 0.5000 0.1207 0.3144
In1 0.0000 0.0000 0.4359
In2 0.5000 0.1670 0.9349
# - volume (Å³ per atom) = 25.41
# - DFT total energy (eV per formula unit) = -30.2

=====

Entry 7:
# RbBAu (PBE-GGA, relaxed)
data_RbBAu
_chemical_formula_sum 'Rb4 B4 Au4'
_cell_length_a 6.7485
_cell_length_b 6.7485
_cell_length_c 6.7485
_cell_angle_alpha 90.00
_cell_angle_beta 90.00
_cell_angle_gamma 90.00
_symmetry_space_group_name_H-M 'F -4 3 m'
_symmetry_Int_Tables_number 216
_symmetry_space_group_name_Hall 'F -4 2 3'
loop_
_atom_site_label
_atom_site_fract_x
_atom_site_fract_y
_atom_site_fract_z
Rb1 0.0000 0.0000 0.0000
B1 0.2500 0.2500 0.7500
Au1 0.0000 0.0000 0.5000
# - volume (Å³ per atom) = 25.61
# - DFT total energy (eV per formula unit) = -7.0

=====

Entry 8:
# Na3Mg2IrO6 (PBE-GGA, relaxed)
data_Na3Mg2IrO6
_chemical_formula_sum 'Na6 Mg4 Ir2 O12'
_cell_length_a 5.2968
_cell_length_b 9.1673
_cell_length_c 5.5981
_cell_angle_alpha 90.00
_cell_angle_beta 108.57
_cell_angle_gamma 90.00
_symmetry_space_group_name_H-M 'C 1 2/m 1'
_symmetry_Int_Tables_number 12
loop_
_symmetry_equiv_pos_as_xyz
'x,y,z'
'-x,-y,-z'
'-x,y,-z'
'x,-y,z'
'x+1/2,y+1/2,z'
'-x+1/2,-y+1/2,-z'
'-x+1/2,y+1/2,-z'
'x+1/2,-y+1/2,z'
loop_
_atom_site_label
_atom_site_fract_x
_atom_site_fract_y
_atom_site_fract_z
Na1 0.0000 0.0000 0.0000
Na2 0.0000 0.3318 0.0000
Mg1 0.0000 0.1671 0.5000
Ir1 0.0000 0.5000 0.5000
O1 0.2283 0.3394 0.7051
O2 0.2475 0.0000 0.7020
# - volume (Å³ per atom) = 10.74
# - DFT total energy (eV per formula unit) = -66.8